(1)
Compound: CePm6Tl5
Source: the Alexandria database
Functional: PBE
Structure: relaxed

For the formation energy, the calculation gives -0.284 eV per atom. The mass density is 9.47 Mg/m³. The calculation puts the polymorph energy (0 for the lowest one) at 0 meV per atom.

The structure belongs to space group Immm (No. 71); the cell edges are 5.1427, 8.8584 and 15.6355 Å and the angles 90.00°, 90.00° and 90.00°. The inequivalent atoms are Ce at (0.0000, 0.0000, 0.0000), Pm at (0.0000, 0.2338, 0.5000), Pm at (0.0000, 0.2575, 0.1705), Tl at (0.0000, 0.0000, 0.3276), Tl at (0.0000, 0.5000, 0.0000) and Tl at (0.0000, 0.5000, 0.3483).



(2)
Compound: CePm3Tl2
Source: the Alexandria database
Functional: PBE
Structure: relaxed

For the formation energy, the calculation gives -0.212 eV per atom. The mass density is 9.19 Mg/m³.

The structure belongs to space group P2/m (No. 10); the cell edges are 5.5291, 3.7094 and 9.0962 Å and the angles 90.00°, 107.61° and 90.00°. The inequivalent atoms are Ce at (0.0000, 0.0000, 0.0000), Pm at (0.1754, 0.5000, 0.3502), Pm at (0.5000, 0.5000, 0.0000) and Tl at (0.3443, 0.0000, 0.6886).



(3)
Compound: CePm2Tl9
Source: the Alexandria database
Functional: PBE
Structure: relaxed

For the formation energy, the calculation gives -0.286 eV per atom. The mass density is 11.20 Mg/m³.

The structure belongs to space group P4/mmm (No. 123); the cell edges are 4.8235, 4.8235 and 14.4659 Å and the angles 90.00°, 90.00° and 90.00°. The inequivalent atoms are Ce at (0.0000, 0.0000, 0.0000), Pm at (0.0000, 0.0000, 0.3343), Tl at (0.0000, 0.5000, 0.1670), Tl at (0.0000, 0.5000, 0.5000), Tl at (0.5000, 0.5000, 0.0000) and Tl at (0.5000, 0.5000, 0.3331).



(4)
Compound: CePm3Tl4
Source: the Alexandria database
Functional: PBE
Structure: relaxed

For the formation energy, the calculation gives -0.191 eV per atom. The mass density is 9.12 Mg/m³. The calculation puts the polymorph energy (0 for the lowest one) at 151 meV per atom.

The structure belongs to space group Immm (No. 71); the cell edges are 3.6498, 7.4251 and 18.7184 Å and the angles 90.00°, 90.00° and 90.00°. The inequivalent atoms are Ce at (0.0000, 0.0000, 0.0000), Pm at (0.0000, 0.0000, 0.5000), Pm at (0.0000, 0.5000, 0.2844) and Tl at (0.0000, 0.2905, 0.1280).